1.
Be4FeTc | meta-GGA SCAN | PBEsol geometry Values from VASP.

Output
Energy of formation from the pure elements, eV/atom: -0.2974
Calculated density, g/cm³: 5.900
V, Å³/atom: 8.91
Crystal system: cubic
Symmetry: F-43m, No. 216
Energy, eV per atom: -12.0647

The structure in Quantum ESPRESSO input format:
```
&SYSTEM
  ibrav = 0, nat = 6, ntyp = 3
/
ATOMIC_SPECIES
Tc 98.00 Tc.upf
Be 9.01 Be.upf
Fe 55.84 Fe.upf
CELL_PARAMETERS angstrom
-1.189 2.292 -3.348
-3.245 -1.277 -2.392
-3.654 2.126 0.084
ATOMIC_POSITIONS crystal
Tc 0.000 0.000 0.000
Be 0.374 0.374 0.374
Be 0.374 0.374 0.877
Be 0.877 0.374 0.374
Be 0.374 0.877 0.374
Fe 0.750 0.750 0.750
```



2.
BeCuAg2 | meta-GGA SCAN | PBEsol geometry Values from VASP.

Output
Energy of formation from the pure elements, eV/atom: 0.0807
Calculated density, g/cm³: 9.108
V, Å³/atom: 13.14
Crystal system: orthorhombic
Symmetry: Imm2, No. 44
Energy, eV per atom: -20.4911

The structure in Quantum ESPRESSO input format:
```
&SYSTEM
  ibrav = 0, nat = 4, ntyp = 3
/
ATOMIC_SPECIES
Cu 63.55 Cu.upf
Ag 107.87 Ag.upf
Be 9.01 Be.upf
CELL_PARAMETERS angstrom
-0.847 2.705 0.441
-3.744 -1.411 1.468
3.911 -0.791 3.027
ATOMIC_POSITIONS crystal
Cu 0.214 0.714 0.429
Ag 0.780 0.280 0.559
Ag 0.994 0.994 0.988
Be 0.512 0.512 0.023
```



3.
SrMnW | meta-GGA SCAN | PBEsol geometry Values from VASP.

Output
Energy of formation from the pure elements, eV/atom: 2.2678
Calculated density, g/cm³: 7.046
V, Å³/atom: 25.64
Excess energy over the best structure of this formula in the dataset, eV per formula unit: 4.656
Crystal system: cubic
Symmetry: F-43m, No. 216
Energy, eV per atom: -34.4717

The structure in Quantum ESPRESSO input format:
```
&SYSTEM
  ibrav = 0, nat = 3, ntyp = 3
/
ATOMIC_SPECIES
Sr 87.62 Sr.upf
W 183.84 W.upf
Mn 54.94 Mn.upf
CELL_PARAMETERS angstrom
-1.599 -2.579 3.685
2.649 -0.419 3.949
-1.357 2.176 4.026
ATOMIC_POSITIONS crystal
Sr 0.750 0.750 0.750
W 0.000 0.000 0.000
Mn 0.500 0.500 0.500
```



4.
MnBeSi | meta-GGA SCAN | PBEsol geometry Values from VASP.

Output
Calculated density, g/cm³: 4.334
Formation energy without anion corrections, meV/atom: -34
V, Å³/atom: 11.76
Crystal system: cubic
Symmetry: F-43m, No. 216
Energy, eV per atom: -10.9092

The structure in Quantum ESPRESSO input format:
```
&SYSTEM
  ibrav = 0, nat = 3, ntyp = 3
/
ATOMIC_SPECIES
Si 28.09 Si.upf
Be 9.01 Be.upf
Mn 54.94 Mn.upf
CELL_PARAMETERS angstrom
-3.188 1.395 1.201
-0.562 0.468 3.608
-0.104 3.394 1.422
ATOMIC_POSITIONS crystal
Si 0.500 0.500 0.500
Be 0.250 0.250 0.250
Mn 0.000 0.000 0.000
```